No. 1
## BaMgW4 (PBE-GGA)

Data for a geometry-optimized BaMgW4 structure.

Its space group is F-43m (216). Its uncorrected energy is -8.29 eV per atom. For the formation energy from the elements, the calculation gives 0.93 eV/atom. The value obtained for the total magnetization is 0.00 μB per cell.

```
data_BaMgW4
_cell_length_a 5.581
_cell_length_b 5.581
_cell_length_c 5.581
_cell_angle_alpha 60.00
_cell_angle_beta 60.00
_cell_angle_gamma 60.00
_symmetry_space_group_name_H-M 'P 1'
_symmetry_Int_Tables_number 1
loop_
_symmetry_equiv_pos_as_xyz
'x,y,z'
loop_
_atom_site_label
_atom_site_type_symbol
_atom_site_fract_x
_atom_site_fract_y
_atom_site_fract_z
Ba1 Ba 0.000 0.000 0.000
Mg1 Mg 0.750 0.750 0.750
W1 W 0.375 0.375 0.375
W2 W 0.375 0.375 0.876
W3 W 0.375 0.876 0.375
W4 W 0.876 0.375 0.375
```

No. 2
## BeAgSb2 (PBE-GGA)

Data for a geometry-optimized BeAgSb2 structure.

Its space group is I4/mmm (139). As for the raw formation energy: 2.02 eV per formula unit. Its uncorrected energy is -3.20 eV per atom. The value obtained for the total magnetization is 0.00 μB per cell.

```
data_BeAgSb2
_cell_length_a 5.093
_cell_length_b 5.093
_cell_length_c 5.093
_cell_angle_alpha 125.67
_cell_angle_beta 125.67
_cell_angle_gamma 80.43
_symmetry_space_group_name_H-M 'P 1'
_symmetry_Int_Tables_number 1
loop_
_symmetry_equiv_pos_as_xyz
'x,y,z'
loop_
_atom_site_label
_atom_site_type_symbol
_atom_site_fract_x
_atom_site_fract_y
_atom_site_fract_z
Be1 Be 0.000 0.000 0.000
Ag1 Ag 0.500 0.500 0.000
Sb1 Sb 0.250 0.750 0.500
Sb2 Sb 0.750 0.250 0.500
```

No. 3
## Ho6Ge2TeS3 (PBE-GGA)

Data for a geometry-optimized Ho6Ge2TeS3 structure.

Its space group is C2/m (12). As for the raw formation energy: -18.24 eV per formula unit. Its uncorrected energy is -5.87 eV per atom. The value obtained for the total magnetization is 0.00 μB per cell.

```
data_Ho6Ge2TeS3
_cell_length_a 9.037
_cell_length_b 9.037
_cell_length_c 8.147
_cell_angle_alpha 102.01
_cell_angle_beta 102.01
_cell_angle_gamma 25.97
_symmetry_space_group_name_H-M 'P 1'
_symmetry_Int_Tables_number 1
loop_
_symmetry_equiv_pos_as_xyz
'x,y,z'
loop_
_atom_site_label
_atom_site_type_symbol
_atom_site_fract_x
_atom_site_fract_y
_atom_site_fract_z
Ho1 Ho 0.003 0.003 0.277
Ho2 Ho 0.325 0.325 0.904
Ho3 Ho 0.333 0.333 0.417
Ho4 Ho 0.667 0.667 0.583
Ho5 Ho 0.675 0.675 0.096
Ho6 Ho 0.997 0.997 0.723
Ge1 Ge 0.167 0.167 0.334
Ge2 Ge 0.833 0.833 0.666
Te1 Te 0.500 0.500 0.000
S1 S 0.163 0.163 0.835
S2 S 0.500 0.500 0.500
S3 S 0.837 0.837 0.165
```

No. 4
## AcTl5Te5 (PBE-GGA)

Data for a geometry-optimized AcTl5Te5 structure.

Its space group is C2/m (12). As for the raw formation energy: -5.55 eV per formula unit. Its uncorrected energy is -3.38 eV per atom. The value obtained for the total magnetization is 0.00 μB per cell.

```
data_AcTl5Te5
_cell_length_a 8.407
_cell_length_b 8.407
_cell_length_c 9.750
_cell_angle_alpha 106.86
_cell_angle_beta 106.86
_cell_angle_gamma 44.83
_symmetry_space_group_name_H-M 'P 1'
_symmetry_Int_Tables_number 1
loop_
_symmetry_equiv_pos_as_xyz
'x,y,z'
loop_
_atom_site_label
_atom_site_type_symbol
_atom_site_fract_x
_atom_site_fract_y
_atom_site_fract_z
Ac1 Ac 0.000 0.000 0.000
Tl1 Tl 0.000 0.000 0.500
Tl2 Tl 0.314 0.314 0.142
Tl3 Tl 0.323 0.323 0.682
Tl4 Tl 0.677 0.677 0.318
Tl5 Tl 0.686 0.686 0.858
Te1 Te 0.160 0.160 0.832
Te2 Te 0.162 0.162 0.326
Te3 Te 0.500 0.500 0.000
Te4 Te 0.838 0.838 0.674
Te5 Te 0.840 0.840 0.168
```

No. 5
## Na4U3MoN8 (PBE-GGA)

Data for a geometry-optimized Na4U3MoN8 structure.

Its space group is R-3m (166). As for the raw formation energy: -13.59 eV per formula unit. Its uncorrected energy is -8.14 eV per atom. The value obtained for the total magnetization is 1.90 μB per cell.

```
data_Na4U3MoN8
_cell_length_a 6.908
_cell_length_b 6.908
_cell_length_c 6.908
_cell_angle_alpha 58.90
_cell_angle_beta 58.90
_cell_angle_gamma 58.90
_symmetry_space_group_name_H-M 'P 1'
_symmetry_Int_Tables_number 1
loop_
_symmetry_equiv_pos_as_xyz
'x,y,z'
loop_
_atom_site_label
_atom_site_type_symbol
_atom_site_fract_x
_atom_site_fract_y
_atom_site_fract_z
Na1 Na 0.000 0.000 0.000
Na2 Na 0.000 0.500 0.500
Na3 Na 0.500 0.000 0.500
Na4 Na 0.500 0.500 0.000
U1 U 0.000 0.000 0.500
U2 U 0.000 0.500 0.000
U3 U 0.500 0.000 0.000
Mo1 Mo 0.500 0.500 0.500
N1 N 0.223 0.731 0.731
N2 N 0.230 0.230 0.230
N3 N 0.269 0.269 0.777
N4 N 0.269 0.777 0.269
N5 N 0.731 0.223 0.731
N6 N 0.731 0.731 0.223
N7 N 0.770 0.770 0.770
N8 N 0.777 0.269 0.269
```

No. 6
## Gd2SCl4 (PBE-GGA)

Data for a geometry-optimized Gd2SCl4 structure.

Its space group is C2/c (15). As for the raw formation energy: -14.69 eV per formula unit. Its uncorrected energy is -7.77 eV per atom. The value obtained for the total magnetization is 27.98 μB per cell.

```
data_Gd2SCl4
_cell_length_a 9.356
_cell_length_b 9.356
_cell_length_c 7.417
_cell_angle_alpha 105.28
_cell_angle_beta 105.28
_cell_angle_gamma 41.63
_symmetry_space_group_name_H-M 'P 1'
_symmetry_Int_Tables_number 1
loop_
_symmetry_equiv_pos_as_xyz
'x,y,z'
loop_
_atom_site_label
_atom_site_type_symbol
_atom_site_fract_x
_atom_site_fract_y
_atom_site_fract_z
Gd1 Gd 0.106 0.631 0.727
Gd2 Gd 0.369 0.894 0.773
Gd3 Gd 0.631 0.106 0.227
Gd4 Gd 0.894 0.369 0.273
S1 S 0.067 0.933 0.750
S2 S 0.933 0.067 0.250
Cl1 Cl 0.125 0.287 0.630
Cl2 Cl 0.287 0.125 0.130
Cl3 Cl 0.321 0.471 0.058
Cl4 Cl 0.471 0.321 0.558
Cl5 Cl 0.529 0.679 0.442
Cl6 Cl 0.679 0.529 0.942
Cl7 Cl 0.713 0.875 0.870
Cl8 Cl 0.875 0.713 0.370
```

No. 7
## PIrW2 (PBE-GGA)

Data for a geometry-optimized PIrW2 structure.

Its space group is Cmmm (65). Its uncorrected energy is -9.83 eV per atom. For the formation energy from the elements, the calculation gives 0.22 eV/atom. The value obtained for the total magnetization is 0.00 μB per cell.

```
data_PIrW2
_cell_length_a 4.824
_cell_length_b 4.824
_cell_length_c 2.837
_cell_angle_alpha 90.00
_cell_angle_beta 90.00
_cell_angle_gamma 115.56
_symmetry_space_group_name_H-M 'P 1'
_symmetry_Int_Tables_number 1
loop_
_symmetry_equiv_pos_as_xyz
'x,y,z'
loop_
_atom_site_label
_atom_site_type_symbol
_atom_site_fract_x
_atom_site_fract_y
_atom_site_fract_z
P1 P 0.000 0.000 0.000
Ir1 Ir 0.500 0.500 0.000
W1 W 0.000 0.500 0.500
W2 W 0.500 0.000 0.500
```

No. 8
## Ce2Cl3F2 (PBE-GGA)

Data for a geometry-optimized Ce2Cl3F2 structure.

Its space group is C2/m (12). As for the raw formation energy: -19.39 eV per formula unit. Its uncorrected energy is -5.79 eV per atom. The value obtained for the total magnetization is 3.00 μB per cell.

```
data_Ce2Cl3F2
_cell_length_a 6.602
_cell_length_b 6.602
_cell_length_c 6.983
_cell_angle_alpha 101.50
_cell_angle_beta 101.50
_cell_angle_gamma 34.39
_symmetry_space_group_name_H-M 'P 1'
_symmetry_Int_Tables_number 1
loop_
_symmetry_equiv_pos_as_xyz
'x,y,z'
loop_
_atom_site_label
_atom_site_type_symbol
_atom_site_fract_x
_atom_site_fract_y
_atom_site_fract_z
Ce1 Ce 0.175 0.175 0.200
Ce2 Ce 0.825 0.825 0.800
Cl1 Cl 0.367 0.367 0.514
Cl2 Cl 0.500 0.500 0.000
Cl3 Cl 0.633 0.633 0.486
F1 F 0.223 0.223 0.870
F2 F 0.777 0.777 0.130
```

No. 9
## ScPRuS2 (PBE-GGA)

Data for a geometry-optimized ScPRuS2 structure.

Its space group is P4/mmm (123). As for the raw formation energy: 2.91 eV per formula unit. Its uncorrected energy is -5.27 eV per atom. The value obtained for the total magnetization is 2.40 μB per cell.

```
data_ScPRuS2
_cell_length_a 4.794
_cell_length_b 4.794
_cell_length_c 4.969
_cell_angle_alpha 90.00
_cell_angle_beta 90.00
_cell_angle_gamma 90.00
_symmetry_space_group_name_H-M 'P 1'
_symmetry_Int_Tables_number 1
loop_
_symmetry_equiv_pos_as_xyz
'x,y,z'
loop_
_atom_site_label
_atom_site_type_symbol
_atom_site_fract_x
_atom_site_fract_y
_atom_site_fract_z
Sc1 Sc 0.000 0.000 0.000
P1 P 0.000 0.000 0.500
Ru1 Ru 0.500 0.500 0.500
S1 S 0.000 0.500 0.000
S2 S 0.500 0.000 0.000
```

No. 10
## GePtW (PBE-GGA)

Data for a geometry-optimized GePtW structure.

Its space group is Amm2 (38). Its uncorrected energy is -7.85 eV per atom. For the formation energy from the elements, the calculation gives 0.02 eV/atom. The value obtained for the total magnetization is 0.00 μB per cell.

```
data_GePtW
_cell_length_a 12.992
_cell_length_b 3.007
_cell_length_c 3.007
_cell_angle_alpha 55.48
_cell_angle_beta 90.00
_cell_angle_gamma 90.00
_symmetry_space_group_name_H-M 'P 1'
_symmetry_Int_Tables_number 1
loop_
_symmetry_equiv_pos_as_xyz
'x,y,z'
loop_
_atom_site_label
_atom_site_type_symbol
_atom_site_fract_x
_atom_site_fract_y
_atom_site_fract_z
Ge1 Ge 0.162 0.000 0.000
Ge2 Ge 0.838 0.000 0.000
Pt1 Pt 0.335 0.542 0.542
Pt2 Pt 0.665 0.542 0.542
W1 W 0.000 0.302 0.302
W2 W 0.500 0.219 0.219
```

No. 11
## ZrZn2Se (PBE-GGA)

Data for a geometry-optimized ZrZn2Se structure.

Its space group is Cm (8). As for the raw formation energy: -1.68 eV per formula unit. Its uncorrected energy is -4.07 eV per atom. The value obtained for the total magnetization is 0.00 μB per cell.

```
data_ZrZn2Se
_cell_length_a 5.052
_cell_length_b 5.052
_cell_length_c 4.797
_cell_angle_alpha 107.91
_cell_angle_beta 107.91
_cell_angle_gamma 40.85
_symmetry_space_group_name_H-M 'P 1'
_symmetry_Int_Tables_number 1
loop_
_symmetry_equiv_pos_as_xyz
'x,y,z'
loop_
_atom_site_label
_atom_site_type_symbol
_atom_site_fract_x
_atom_site_fract_y
_atom_site_fract_z
Zr1 Zr 0.000 0.000 0.000
Zn1 Zn 0.529 0.529 0.540
Zn2 Zn 0.775 0.775 0.388
Se1 Se 0.278 0.278 0.960
```

No. 12
## HfMn5Re (PBE-GGA)

Data for a geometry-optimized HfMn5Re structure.

Its space group is Pnma (62). Its uncorrected energy is -9.90 eV per atom. For the formation energy from the elements, the calculation gives -0.15 eV/atom. The value obtained for the total magnetization is 14.94 μB per cell.

```
data_HfMn5Re
_cell_length_a 7.913
_cell_length_b 4.713
_cell_length_c 9.918
_cell_angle_alpha 90.00
_cell_angle_beta 90.00
_cell_angle_gamma 90.00
_symmetry_space_group_name_H-M 'P 1'
_symmetry_Int_Tables_number 1
loop_
_symmetry_equiv_pos_as_xyz
'x,y,z'
loop_
_atom_site_label
_atom_site_type_symbol
_atom_site_fract_x
_atom_site_fract_y
_atom_site_fract_z
Hf1 Hf 0.247 0.250 0.061
Hf2 Hf 0.253 0.750 0.561
Hf3 Hf 0.747 0.250 0.439
Hf4 Hf 0.753 0.750 0.939
Mn1 Mn 0.053 0.750 0.088
Mn2 Mn 0.073 0.009 0.310
Mn3 Mn 0.073 0.491 0.310
Mn4 Mn 0.087 0.250 0.525
Mn5 Mn 0.191 0.250 0.751
Mn6 Mn 0.309 0.750 0.251
Mn7 Mn 0.413 0.750 0.025
Mn8 Mn 0.427 0.509 0.810
Mn9 Mn 0.427 0.991 0.810
Mn10 Mn 0.447 0.250 0.588
Mn11 Mn 0.553 0.750 0.412
Mn12 Mn 0.573 0.009 0.190
Mn13 Mn 0.573 0.491 0.190
Mn14 Mn 0.587 0.250 0.975
Mn15 Mn 0.691 0.250 0.749
Mn16 Mn 0.809 0.750 0.249
Mn17 Mn 0.913 0.750 0.475
Mn18 Mn 0.927 0.509 0.690
Mn19 Mn 0.927 0.991 0.690
Mn20 Mn 0.947 0.250 0.912
Re1 Re 0.136 0.750 0.852
Re2 Re 0.364 0.250 0.352
Re3 Re 0.636 0.750 0.648
Re4 Re 0.864 0.250 0.148
```

No. 13
## ScSiOs2 (PBE-GGA)

Data for a geometry-optimized ScSiOs2 structure.

Its space group is F-43m (216). As for the raw formation energy: 0.39 eV per formula unit. Its uncorrected energy is -8.46 eV per atom. The value obtained for the total magnetization is 0.00 μB per cell.

```
data_ScSiOs2
_cell_length_a 4.415
_cell_length_b 4.415
_cell_length_c 4.415
_cell_angle_alpha 60.00
_cell_angle_beta 60.00
_cell_angle_gamma 60.00
_symmetry_space_group_name_H-M 'P 1'
_symmetry_Int_Tables_number 1
loop_
_symmetry_equiv_pos_as_xyz
'x,y,z'
loop_
_atom_site_label
_atom_site_type_symbol
_atom_site_fract_x
_atom_site_fract_y
_atom_site_fract_z
Sc1 Sc 0.000 0.000 0.000
Si1 Si 0.750 0.750 0.750
Os1 Os 0.250 0.250 0.250
Os2 Os 0.500 0.500 0.500
```

No. 14
## Mn2CrCoH (PBE-GGA)

Data for a geometry-optimized Mn2CrCoH structure.

Its space group is P4/mmm (123). Its uncorrected energy is -7.70 eV per atom. The value obtained for the total magnetization is 1.70 μB per cell.

```
data_Mn2CrCoH
_cell_length_a 3.672
_cell_length_b 3.672
_cell_length_c 3.514
_cell_angle_alpha 90.00
_cell_angle_beta 90.00
_cell_angle_gamma 90.00
_symmetry_space_group_name_H-M 'P 1'
_symmetry_Int_Tables_number 1
loop_
_symmetry_equiv_pos_as_xyz
'x,y,z'
loop_
_atom_site_label
_atom_site_type_symbol
_atom_site_fract_x
_atom_site_fract_y
_atom_site_fract_z
Mn1 Mn 0.000 0.500 0.000
Mn2 Mn 0.500 0.000 0.000
Cr1 Cr 0.000 0.000 0.500
Co1 Co 0.500 0.500 0.500
H1 H 0.500 0.500 0.000
```

No. 15
## CsTlIn2Hg4 (PBE-GGA)

Data for a geometry-optimized CsTlIn2Hg4 structure.

Its space group is R-3m (166). Its uncorrected energy is -1.33 eV per atom. For the formation energy from the elements, the calculation gives -0.10 eV/atom. The value obtained for the total magnetization is 0.00 μB per cell.

```
data_CsTlIn2Hg4
_cell_length_a 12.203
_cell_length_b 12.203
_cell_length_c 12.203
_cell_angle_alpha 24.08
_cell_angle_beta 24.08
_cell_angle_gamma 24.08
_symmetry_space_group_name_H-M 'P 1'
_symmetry_Int_Tables_number 1
loop_
_symmetry_equiv_pos_as_xyz
'x,y,z'
loop_
_atom_site_label
_atom_site_type_symbol
_atom_site_fract_x
_atom_site_fract_y
_atom_site_fract_z
Cs1 Cs 0.000 0.000 0.000
Tl1 Tl 0.500 0.500 0.500
In1 In 0.234 0.234 0.234
In2 In 0.766 0.766 0.766
Hg1 Hg 0.128 0.128 0.128
Hg2 Hg 0.401 0.401 0.401
Hg3 Hg 0.599 0.599 0.599
Hg4 Hg 0.872 0.872 0.872
```